Computed, not measured: a relaxed structure of AlSnNF2 at the PBE-GGA level of DFT.

abc: 4.4460 4.4460 3.9189
angles: 90.00 90.00 90.00
With the nearest neighbours (Å) after each atom.
Atoms (fractional coordinates):
Al1 0.5000 0.5000 0.5000  8 F 2.96, 4 N 3.14
N1 0.0000 0.0000 0.5000  2 Sn 1.96
F1 0.0000 0.5000 0.0000  2 Sn 2.22
F2 0.5000 0.0000 0.0000  2 Sn 2.22
Sn1 0.0000 0.0000 0.0000  2 N 1.96

Results
Polymorph energy (0 for the lowest one): 80.53 kJ per mole of atoms
Final energy: -4.63 eV per atom
Crystal system: tetragonal
Raw formation energy: -663 meV/atom
Total moment: 0.0 μB per cell
Theoretical density: 4.2 g cm⁻³


Computed, not measured: a relaxed structure of TaAlNF2 at the PBE-GGA level of DFT.

abc: 4.2328 4.2328 4.0337
angles: 90.00 90.00 90.00
With the nearest neighbours (Å) after each atom.
Atoms (fractional coordinates):
Al1 0.5000 0.5000 0.5000  8 F 2.92, 4 N 2.99
F1 0.5000 0.0000 0.0000  2 Ta 2.12
N1 0.0000 0.0000 0.5000  2 Ta 2.02
F2 0.0000 0.5000 0.0000  2 Ta 2.12
Ta1 0.0000 0.0000 0.0000  2 N 2.02, 4 F 2.12

Results
Polymorph energy (0 for the lowest one): 0.00 kJ per mole of atoms
Final energy: -6.66 eV per atom
Crystal system: tetragonal
Raw formation energy: -1126 meV/atom
Total moment: 0.0 μB per cell
Theoretical density: 6.0 g cm⁻³


Computed, not measured: a relaxed structure of TaAlNF2 at the PBE-GGA level of DFT.

abc: 3.3054 3.3054 6.2012
angles: 90.00 90.00 90.00
With the nearest neighbours (Å) after each atom.
Atoms (fractional coordinates):
Ta1 0.5000 0.5000 0.5000  4 N 2.34
N1 0.0000 0.0000 0.5000  4 Ta 2.34
F1 0.5000 0.0000 0.0000  2 Al 1.65
F2 0.0000 0.5000 0.0000  2 Al 1.65
Al1 0.0000 0.0000 0.0000  4 F 1.65

Results
Polymorph energy (0 for the lowest one): 3.01 kJ per mole of atoms
Final energy: -6.63 eV per atom
Crystal system: tetragonal
Raw formation energy: -1095 meV/atom
Total moment: 0.0 μB per cell
Theoretical density: 6.4 g cm⁻³


Computed, not measured: a relaxed structure of TaAlN2F at the PBE-GGA level of DFT.

abc: 4.0946 4.0946 4.0370
angles: 90.00 90.00 90.00
With the nearest neighbours (Å) after each atom.
Atoms (fractional coordinates):
N1 0.0000 0.5000 0.0000  2 Ta 2.05
Ta1 0.0000 0.0000 0.0000  2 F 2.02, 4 N 2.05
Al1 0.5000 0.5000 0.5000  8 N 2.88, 4 F 2.90
N2 0.5000 0.0000 0.0000  2 Ta 2.05
F1 0.0000 0.0000 0.5000  2 Ta 2.02

Results
Polymorph energy (0 for the lowest one): 5.07 kJ per mole of atoms
Final energy: -7.37 eV per atom
Crystal system: tetragonal
Raw formation energy: -550 meV/atom
Total moment: 0.0 μB per cell
Theoretical density: 6.3 g cm⁻³


Computed, not measured: a relaxed structure of TaAlN2F at the PBE-GGA level of DFT.

abc: 3.8686 3.8686 3.3276
angles: 90.00 90.00 90.00
With the nearest neighbours (Å) after each atom.
Atoms (fractional coordinates):
Al1 0.0000 0.0000 0.0000  2 F 1.66
N1 0.0000 0.5000 0.0000  2 Al 1.93
N2 0.5000 0.0000 0.0000  2 Al 1.93
Ta1 0.5000 0.5000 0.5000  8 N 2.55, 4 F 2.74
F1 0.0000 0.0000 0.5000  2 Al 1.66

Results
Polymorph energy (0 for the lowest one): 0.00 kJ per mole of atoms
Final energy: -7.43 eV per atom
Crystal system: tetragonal
Raw formation energy: -603 meV/atom
Total moment: 0.6 μB per cell
Theoretical density: 8.5 g cm⁻³


Computed, not measured: a relaxed structure of AlTeNF2 at the PBE-GGA level of DFT.

abc: 4.6873 4.6873 4.0928
angles: 90.00 90.00 90.00
With the nearest neighbours (Å) after each atom.
Atoms (fractional coordinates):
F1 0.5000 0.0000 0.0000  2 Te 2.34
N1 0.0000 0.0000 0.5000  2 Te 2.05
F2 0.0000 0.5000 0.0000  2 Te 2.34
Te1 0.0000 0.0000 0.0000  2 N 2.05
Al1 0.5000 0.5000 0.5000  8 F 3.11, 4 N 3.31

Results
Polymorph energy (0 for the lowest one): 86.31 kJ per mole of atoms
Final energy: -4.08 eV per atom
Crystal system: tetragonal
Raw formation energy: -291 meV/atom
Total moment: 0.0 μB per cell
Theoretical density: 3.8 g cm⁻³


Computed, not measured: a relaxed structure of AlTeN2F at the PBE-GGA level of DFT.

abc: 4.1027 4.1027 4.3435
angles: 90.00 90.00 90.00
With the nearest neighbours (Å) after each atom.
Atoms (fractional coordinates):
Al1 0.5000 0.5000 0.5000  4 F 2.90, 8 N 2.99
F1 0.0000 0.0000 0.5000  2 Te 2.17
N1 0.0000 0.5000 0.0000  2 Te 2.05
N2 0.5000 0.0000 0.0000  2 Te 2.05
Te1 0.0000 0.0000 0.0000  4 N 2.05, 2 F 2.17

Results
Polymorph energy (0 for the lowest one): 96.08 kJ per mole of atoms
Final energy: -4.38 eV per atom
Crystal system: tetragonal
Raw formation energy: 704 meV/atom
Total moment: 0.3 μB per cell
Theoretical density: 4.6 g cm⁻³


Computed, not measured: a relaxed structure of AlTeN2F at the PBE-GGA level of DFT.

abc: 3.9870 3.9870 3.5698
angles: 90.00 90.00 90.00
With the nearest neighbours (Å) after each atom.
Atoms (fractional coordinates):
Te1 0.5000 0.5000 0.5000  8 N 2.68, 4 F 2.82
Al1 0.0000 0.0000 0.0000  2 F 1.78, 4 N 1.99
F1 0.0000 0.0000 0.5000  2 Al 1.78
N1 0.0000 0.5000 0.0000  2 Al 1.99
N2 0.5000 0.0000 0.0000  2 Al 1.99

Results
Polymorph energy (0 for the lowest one): 0.00 kJ per mole of atoms
Final energy: -5.37 eV per atom
Crystal system: tetragonal
Raw formation energy: -292 meV/atom
Total moment: 0.0 μB per cell
Theoretical density: 5.9 g cm⁻³


Computed, not measured: a relaxed structure of AlTeN2F at the PBE-GGA level of DFT.

abc: 4.5095 4.5095 4.1813
angles: 90.00 90.00 90.00
With the nearest neighbours (Å) after each atom.
Atoms (fractional coordinates):
N1 0.5000 0.0000 0.0000  2 F 2.25
N2 0.0000 0.5000 0.0000  2 F 2.25
Te1 0.0000 0.0000 0.5000  2 F 2.09
F1 0.0000 0.0000 0.0000  2 Te 2.09, 4 N 2.25
Al1 0.5000 0.5000 0.5000  8 N 3.07, 4 Te 3.19

Results
Polymorph energy (0 for the lowest one): 197.73 kJ per mole of atoms
Final energy: -3.32 eV per atom
Crystal system: tetragonal
Raw formation energy: 1758 meV/atom
Total moment: 4.3 μB per cell
Theoretical density: 3.9 g cm⁻³


Computed, not measured: a relaxed structure of AlTeNF2 at the PBE-GGA level of DFT.

abc: 3.5916 3.5916 4.8921
angles: 90.00 90.00 90.00
With the nearest neighbours (Å) after each atom.
Atoms (fractional coordinates):
Te1 0.5000 0.5000 0.5000  4 N 2.54
Al1 0.0000 0.0000 0.0000  4 F 1.80
F1 0.5000 0.0000 0.0000  2 Al 1.80
N1 0.0000 0.0000 0.5000  2 Al 2.45, 4 Te 2.54
F2 0.0000 0.5000 0.0000  2 Al 1.80

Results
Polymorph energy (0 for the lowest one): 0.00 kJ per mole of atoms
Final energy: -4.98 eV per atom
Crystal system: tetragonal
Raw formation energy: -1185 meV/atom
Total moment: 0.0 μB per cell
Theoretical density: 5.4 g cm⁻³


Computed, not measured: a relaxed structure of AlTeN2F at the PBE-GGA level of DFT.

abc: 3.6478 5.8364 3.6478
angles: 90.00 90.00 90.00
With the nearest neighbours (Å) after each atom.
Atoms (fractional coordinates):
N1 0.5000 0.0000 0.0000  2 Al 1.82
Al1 0.0000 0.0000 0.0000  4 N 1.82
N2 0.0000 0.0000 0.5000  2 Al 1.82
F1 0.5000 0.5000 0.5000  4 Te 2.58
Te1 0.0000 0.5000 0.0000  4 F 2.58

Results
Polymorph energy (0 for the lowest one): 73.89 kJ per mole of atoms
Final energy: -4.61 eV per atom
Crystal system: tetragonal
Raw formation energy: 474 meV/atom
Total moment: 0.7 μB per cell
Theoretical density: 4.3 g cm⁻³


Computed, not measured: a relaxed structure of TiAlN2F at the PBE-GGA level of DFT.

abc: 3.9881 3.9881 3.7811
angles: 90.00 90.00 90.00
With the nearest neighbours (Å) after each atom.
Atoms (fractional coordinates):
Al1 0.5000 0.5000 0.5000  8 N 2.75, 4 F 2.82
N1 0.0000 0.5000 0.0000  2 Ti 1.99
N2 0.5000 0.0000 0.0000  2 Ti 1.99
F1 0.0000 0.0000 0.5000  2 Ti 1.89
Ti1 0.0000 0.0000 0.0000  2 F 1.89, 4 N 1.99

Results
Polymorph energy (0 for the lowest one): 24.13 kJ per mole of atoms
Final energy: -6.65 eV per atom
Crystal system: tetragonal
Raw formation energy: -623 meV/atom
Total moment: 0.0 μB per cell
Theoretical density: 3.4 g cm⁻³